# Zn3CrSn

A relaxed Zn3CrSn crystal (PBE, the Alexandria database).

Calculated values
Its excess energy over the best structure of this formula in the dataset is 0.000 eV/atom. For the energy of formation from the pure elements, the calculation gives 0.662 eV/atom.

Cell: 4.8612 4.8612 4.8612 Å, 90.00 90.00 90.00°
Last column: nearest neighbours and their distance in Å.
Space group Pm-3m (No. 221)
Asymmetric unit:
1 Zn 0.0000 0.0000 0.5000 x3  2 Cr 2.43
2 Cr 0.0000 0.0000 0.0000 x1  6 Zn 2.43
3 Sn 0.5000 0.5000 0.5000 x1  12 Zn 3.44